Record 1
## ErTh2Sc7 (PBE-GGA)

Data for ErTh2Sc7 after structural relaxation.

Cell and atoms, written as POSCAR:
```
ErTh2Sc7
1.0
3.297 -0.057 -0.870
0.705 7.658 -4.487
-2.194 -1.108 11.756
Sc Er Th
7 1 2
Direct
0.500 0.500 0.500
0.601 0.409 0.204
0.089 0.886 0.688
0.911 0.114 0.312
0.399 0.591 0.796
0.201 0.801 0.401
0.799 0.199 0.599
0.000 0.000 0.000
0.697 0.291 0.895
0.303 0.709 0.105
```

Properties
**Symmetry**: C2/m
**E_tot**: -6.329 eV/atom
**Energy relative to the elements**: 0.043 eV per atom
**Relative energy among the computed polymorphs**: 0 meV/atom
**Theoretical density**: 5.9 g/cm³
**Calculated volume**: 26.64 A^3/atom

=====

Record 2
## PmDyBiAs (PBE-GGA)

Data for PmDyBiAs after structural relaxation.

Cell and atoms, written as POSCAR:
```
PmDyBiAs
1.0
-0.160 -4.145 1.199
3.424 -2.559 -0.614
3.593 -0.447 6.711
Pm As Bi Dy
1 1 1 1
Direct
0.992 0.992 0.023
0.248 0.248 0.257
0.752 0.752 0.743
0.508 0.508 0.477
```

Properties
**Symmetry**: R3m
**E_tot**: -5.661 eV/atom
**Energy relative to the elements**: -1.190 eV per atom
**Theoretical density**: 8.4 g/cm³
**Calculated volume**: 29.09 A^3/atom

=====

Record 3
## Ac5LaTe6 (PBE-GGA)

Data for Ac5LaTe6 after structural relaxation.

Cell and atoms, written as POSCAR:
```
Ac5LaTe6
1.0
-3.331 -0.091 7.438
1.609 -7.109 3.639
6.756 -0.826 4.518
Ac Te La
5 6 1
Direct
0.500 0.500 0.000
0.000 0.666 0.668
0.500 0.830 0.340
0.000 0.334 0.332
0.500 0.170 0.660
0.249 0.244 0.000
0.245 0.919 0.672
0.245 0.591 0.328
0.755 0.409 0.672
0.755 0.081 0.328
0.751 0.756 0.000
0.000 0.000 0.000
```

Properties
**Symmetry**: C2/m
**E_tot**: -5.203 eV/atom
**Theoretical density**: 7.6 g/cm³
**Formation energy from raw total energies**: -1.509 eV per atom
**Calculated volume**: 36.89 A^3/atom

=====

Record 4
## CrNi9Sn2 (PBE-GGA)

Data for CrNi9Sn2 after structural relaxation.

Cell and atoms, written as POSCAR:
```
CrNi9Sn2
1.0
-3.102 1.846 0.716
0.662 -0.286 3.609
5.558 9.447 -0.271
Sn Cr Ni
2 1 9
Direct
0.000 0.000 0.328
0.000 0.000 0.672
0.000 0.000 0.000
0.500 0.000 0.153
0.500 0.500 0.328
0.500 0.000 0.847
0.000 0.500 0.153
0.500 0.000 0.500
0.500 0.500 0.672
0.500 0.500 0.000
0.000 0.500 0.847
0.000 0.500 0.500
```

Properties
**Symmetry**: P4/mmm
**E_tot**: -5.920 eV/atom
**Energy relative to the elements**: -0.115 eV per atom
**Theoretical density**: 9.1 g/cm³
**Calculated volume**: 12.37 A^3/atom

=====

Record 5
## La2TlAg (PBE-GGA)

Data for La2TlAg after structural relaxation.

Cell and atoms, written as POSCAR:
```
La2TlAg
1.0
-4.061 3.477 -0.764
-1.420 1.435 -5.009
-4.676 -1.724 -2.080
La Ag Tl
2 1 1
Direct
0.250 0.250 0.250
0.000 0.000 0.000
0.500 0.500 0.500
0.750 0.750 0.750
```

Properties
**Symmetry**: F-43m
**E_tot**: -3.796 eV/atom
**Energy relative to the elements**: -0.028 eV per atom
**Relative energy among the computed polymorphs**: 315 meV/atom
**Theoretical density**: 8.8 g/cm³
**Calculated volume**: 27.84 A^3/atom

=====

Record 6
## ScBAs2W (PBE-GGA)

Data for ScBAs2W after structural relaxation.

Cell and atoms, written as POSCAR:
```
ScBAs2W
1.0
4.788 0.000 0.000
0.000 5.277 0.000
0.000 0.000 4.788
B Sc As W
1 1 2 1
Direct
0.500 0.500 0.500
0.000 0.500 0.000
0.500 0.000 0.000
0.000 0.000 0.500
0.000 0.000 0.000
```

Properties
**Symmetry**: P4/mmm
**E_tot**: -5.870 eV/atom
**Energy relative to the elements**: 1.183 eV per atom
**Theoretical density**: 5.3 g/cm³
**Calculated volume**: 24.19 A^3/atom

=====

Record 7
## Tb8HgRu2 (PBE-GGA)

Data for Tb8HgRu2 after structural relaxation.

Cell and atoms, written as POSCAR:
```
Tb8HgRu2
1.0
-4.962 -0.848 1.612
1.027 -6.820 -0.431
4.457 3.728 7.016
Tb Ru Hg
8 2 1
Direct
0.746 0.926 0.128
0.972 0.016 0.580
0.136 0.559 0.909
0.301 0.344 0.238
0.349 0.855 0.334
0.924 0.430 0.485
0.636 0.278 0.909
0.527 0.706 0.690
0.808 0.623 0.252
0.465 0.280 0.566
0.136 0.984 0.909
```

Properties
**Symmetry**: Imm2
**E_tot**: -5.327 eV/atom
**Energy relative to the elements**: -0.246 eV per atom
**Relative energy among the computed polymorphs**: 0 meV/atom
**Theoretical density**: 9.5 g/cm³
**Calculated volume**: 26.58 A^3/atom

=====

Record 8
## Ho5NiBi2 (PBE-GGA)

Data for Ho5NiBi2 after structural relaxation.

Cell and atoms, written as POSCAR:
```
Ho5NiBi2
1.0
4.484 0.000 0.000
0.000 8.037 0.000
0.000 0.000 12.262
Ho Ni Bi
10 2 4
Direct
0.000 0.500 0.000
0.500 0.821 0.939
0.500 0.179 0.061
0.000 0.637 0.695
0.000 0.863 0.195
0.000 0.000 0.500
0.000 0.137 0.805
0.500 0.679 0.439
0.500 0.321 0.561
0.000 0.363 0.305
0.000 0.500 0.500
0.000 0.000 0.000
0.500 0.072 0.326
0.500 0.572 0.174
0.500 0.428 0.826
0.500 0.928 0.674
```

Properties
**Symmetry**: Pbam
**E_tot**: -5.115 eV/atom
**Energy relative to the elements**: -0.561 eV per atom
**Relative energy among the computed polymorphs**: 14 meV/atom
**Theoretical density**: 9.8 g/cm³
**Calculated volume**: 27.62 A^3/atom

=====

Record 9
## Pm2CdPd (PBE-GGA)

Data for Pm2CdPd after structural relaxation.

Cell and atoms, written as POSCAR:
```
Pm2CdPd
1.0
-3.530 -0.367 -1.011
0.859 -3.050 -1.891
-1.324 -4.175 6.135
Pd Pm Cd
1 2 1
Direct
0.500 0.500 0.000
0.000 0.000 0.772
0.000 0.000 0.228
0.500 0.500 0.500
```

Properties
**Symmetry**: P4/mmm
**E_tot**: -4.443 eV/atom
**Energy relative to the elements**: -0.541 eV per atom
**Relative energy among the computed polymorphs**: 0 meV/atom
**Theoretical density**: 8.2 g/cm³
**Calculated volume**: 25.66 A^3/atom

=====

Record 10
## Na2CrI (PBE-GGA)

Data for Na2CrI after structural relaxation.

Cell and atoms, written as POSCAR:
```
Na2CrI
1.0
-0.762 3.810 4.071
-0.838 5.404 -1.326
-5.065 2.330 0.761
I Cr Na
1 1 2
Direct
0.500 0.500 0.500
0.000 0.000 0.000
0.750 0.750 0.750
0.250 0.250 0.250
```

Properties
**Symmetry**: Fm-3m
**E_tot**: -3.213 eV/atom
**Theoretical density**: 3.0 g/cm³
**Formation energy from raw total energies**: 0.240 eV per atom
**Calculated volume**: 31.50 A^3/atom

=====

Record 11
## PrBePRh6 (PBE-GGA)

Data for PrBePRh6 after structural relaxation.

Cell and atoms, written as POSCAR:
```
PrBePRh6
1.0
-4.093 1.861 3.953
-4.805 -7.665 -1.367
7.279 0.395 2.817
Be Rh P Pr
2 12 2 2
Direct
0.500 0.000 0.500
0.000 0.000 0.500
0.562 0.312 0.124
0.367 0.113 0.269
0.367 0.655 0.269
0.100 0.850 0.199
0.901 0.655 0.269
0.633 0.887 0.731
0.099 0.887 0.731
0.633 0.345 0.731
0.900 0.150 0.801
0.099 0.345 0.731
0.438 0.688 0.876
0.901 0.113 0.269
0.500 0.500 0.000
0.500 0.000 0.000
0.169 0.419 0.337
0.831 0.581 0.663
```

Properties
**Symmetry**: Imma
**E_tot**: -6.644 eV/atom
**Energy relative to the elements**: -0.197 eV per atom
**Theoretical density**: 8.7 g/cm³
**Calculated volume**: 17.00 A^3/atom

=====

Record 12
## Ca9Cd4Bi9 (PBE-GGA)

Data for Ca9Cd4Bi9 after structural relaxation.

Cell and atoms, written as POSCAR:
```
Ca9Cd4Bi9
1.0
-2.024 4.337 -0.395
-10.795 -5.426 -4.287
-7.653 -1.630 21.330
Bi Cd Ca
18 8 18
Direct
0.500 0.682 0.828
0.500 0.818 0.328
0.000 0.681 0.515
0.500 0.182 0.672
0.500 0.318 0.172
0.000 0.819 0.015
0.500 0.000 0.500
0.000 0.615 0.186
0.500 0.500 0.000
0.000 0.319 0.485
0.000 0.115 0.314
0.000 0.181 0.985
0.000 0.885 0.686
0.000 0.385 0.814
0.500 0.548 0.643
0.500 0.452 0.357
0.500 0.952 0.143
0.500 0.048 0.857
0.500 0.736 0.953
0.500 0.264 0.047
0.500 0.236 0.547
0.500 0.614 0.260
0.500 0.114 0.240
0.500 0.764 0.453
0.500 0.886 0.760
0.500 0.386 0.740
0.000 0.127 0.766
0.000 0.627 0.734
0.000 0.873 0.234
0.500 0.296 0.899
0.000 0.930 0.412
0.000 0.869 0.865
0.000 0.373 0.266
0.000 0.369 0.635
0.500 0.204 0.399
0.000 0.131 0.135
0.500 0.000 0.000
0.500 0.704 0.101
0.500 0.500 0.500
0.000 0.070 0.588
0.000 0.570 0.912
0.000 0.430 0.088
0.000 0.631 0.365
0.500 0.796 0.601
```

Properties
**Symmetry**: Pbam
**E_tot**: -3.235 eV/atom
**Energy relative to the elements**: -0.662 eV per atom
**Theoretical density**: 6.4 g/cm³
**Calculated volume**: 31.79 A^3/atom